i.
! Ca2HSeS (PBE, optimized geometry); values from VASP
&SYSTEM
  ibrav = 0, nat = 5, ntyp = 4
/
ATOMIC_SPECIES
Ca 40.08 Ca.upf
H 1.01 H.upf
Se 78.96 Se.upf
S 32.06 S.upf
CELL_PARAMETERS angstrom
7.1004 0.0000 0.0000
0.0000 2.0902 3.5216
0.0000 -2.0902 3.5216
ATOMIC_POSITIONS angstrom
Ca 1.7516 0.0000 0.0000
Ca 5.3488 0.0000 0.0000
H 0.0000 0.0000 5.7177
Se 3.5502 0.0000 4.6762
S 0.0000 0.0000 2.2927
! Space-group type: Amm2, No. 38
! Crystal system: orthorhombic



ii.
! Ca2HSeS (PBE, optimized geometry); values from VASP
&SYSTEM
  ibrav = 0, nat = 5, ntyp = 4
/
ATOMIC_SPECIES
Ca 40.08 Ca.upf
H 1.01 H.upf
Se 78.96 Se.upf
S 32.06 S.upf
CELL_PARAMETERS angstrom
3.5500 -2.0449 0.0000
3.5500 2.0449 0.0000
-3.3575 0.0000 7.2313
ATOMIC_POSITIONS angstrom
Ca 0.0000 0.0000 0.0000
Ca -0.9529 0.0000 3.9864
H 3.7400 0.0000 3.3299
Se 2.4153 0.0000 1.8281
S 1.3962 0.0000 5.6667
! Space-group type: Cm, No. 8
! Crystal system: monoclinic



It turns out i is the most stable, with the second structure 23 meV/atom higher.